# 1
The following is a GGA-PBE calculation of crystalline Zr2Nb4Au3N3 at its relaxed geometry, from OQMD.

```
data_Zr2Nb4Au3N3
_cell_length_a 9.7436
_cell_length_b 5.6300
_cell_length_c 13.9383
_cell_angle_alpha 90.00
_cell_angle_beta 103.64
_cell_angle_gamma 90.00
_symmetry_space_group_name_H-M 'C 1 2/c 1'
_symmetry_Int_Tables_number 15
loop_
_symmetry_equiv_pos_as_xyz
'x,y,z'
'-x,-y,-z'
'-x,y,-z+1/2'
'x,-y,z+1/2'
'x+1/2,y+1/2,z'
'-x+1/2,-y+1/2,-z'
'-x+1/2,y+1/2,-z+1/2'
'x+1/2,-y+1/2,z+1/2'
loop_
_atom_site_label
_atom_site_fract_x
_atom_site_fract_y
_atom_site_fract_z
Zr1 0.0453 0.0817 0.3951
Nb1 0.1091 0.4176 0.5774
Nb2 0.2236 0.4149 0.9225
Au1 0.0000 0.4808 0.2500
Au2 0.1993 0.1159 0.7495
N1 0.0777 0.2334 0.9999
N2 0.2500 0.2500 0.5000
```

Crystal system: monoclinic
Total DFT energy (no corrections) in eV per atom: -8.470

---

# 2
The following is a GGA-PBE calculation of crystalline PmDyU at its relaxed geometry, from OQMD.

```
data_PmDyU
_cell_length_a 7.4582
_cell_length_b 7.4582
_cell_length_c 7.4582
_cell_angle_alpha 90.00
_cell_angle_beta 90.00
_cell_angle_gamma 90.00
_symmetry_space_group_name_H-M 'F -4 3 m'
_symmetry_Int_Tables_number 216
_symmetry_space_group_name_Hall 'F -4 2 3'
loop_
_atom_site_label
_atom_site_fract_x
_atom_site_fract_y
_atom_site_fract_z
Pm1 0.0000 0.0000 0.0000
Dy1 0.0000 0.0000 0.5000
U1 0.2500 0.2500 0.2500
```

ΔH_f (0 K) in kJ per mole of atoms: 122.6
Excess energy over the best structure of this formula in the dataset in meV/atom: 0.0
Crystal system: cubic

---

# 3
The following is a GGA-PBE calculation of crystalline TbDyNCl3 at its relaxed geometry, from OQMD.

```
data_TbDyNCl3
_cell_length_a 16.5434
_cell_length_b 3.8374
_cell_length_c 10.7977
_cell_angle_alpha 90.00
_cell_angle_beta 122.35
_cell_angle_gamma 90.00
_symmetry_space_group_name_H-M 'C 1 2/m 1'
_symmetry_Int_Tables_number 12
loop_
_symmetry_equiv_pos_as_xyz
'x,y,z'
'-x,-y,-z'
'-x,y,-z'
'x,-y,z'
'x+1/2,y+1/2,z'
'-x+1/2,-y+1/2,-z'
'-x+1/2,y+1/2,-z'
'x+1/2,-y+1/2,z'
loop_
_atom_site_label
_atom_site_fract_x
_atom_site_fract_y
_atom_site_fract_z
Tb1 0.0836 0.0000 0.4556
Dy1 0.1381 0.5000 0.7925
N1 0.0767 0.0000 0.6574
Cl1 0.0427 0.5000 0.2474
Cl2 0.1670 0.0000 0.0121
Cl3 0.2204 0.5000 0.6166
```

Excess energy over the best structure of this formula in the dataset in meV/atom: 5.1
Crystal system: monoclinic

---

# 4
The following is a GGA-PBE calculation of crystalline BaZnSO at its relaxed geometry, from OQMD.

```
data_BaZnSO
_cell_length_a 3.9056
_cell_length_b 3.9056
_cell_length_c 10.9097
_cell_angle_alpha 90.00
_cell_angle_beta 90.00
_cell_angle_gamma 90.00
_symmetry_space_group_name_H-M 'P 4/n m m'
_symmetry_Int_Tables_number 129
loop_
_symmetry_equiv_pos_as_xyz
'x,y,z'
'-x,-y,-z'
'-y+1/2,x,z'
'y+1/2,-x,-z'
'-x+1/2,-y+1/2,z'
'x+1/2,y+1/2,-z'
'y,-x+1/2,z'
'-y,x+1/2,-z'
'x+1/2,-y,-z'
'-x+1/2,y,z'
'-y,-x,-z'
'y,x,z'
'-x,y+1/2,-z'
'x,-y+1/2,z'
'y+1/2,x+1/2,-z'
'-y+1/2,-x+1/2,z'
loop_
_atom_site_label
_atom_site_fract_x
_atom_site_fract_y
_atom_site_fract_z
Ba1 0.2500 0.2500 0.1281
Zn1 0.2500 0.7500 0.5000
S1 0.2500 0.2500 0.6294
O1 0.2500 0.2500 0.9013
```

Crystal system: tetragonal
Total DFT energy (no corrections) in eV per atom: -4.495

---

# 5
The following is a GGA-PBE calculation of crystalline TmTlCdS3 at its relaxed geometry, from OQMD.

```
data_TmTlCdS3
_cell_length_a 4.0455
_cell_length_b 14.2518
_cell_length_c 10.6528
_cell_angle_alpha 90.00
_cell_angle_beta 90.00
_cell_angle_gamma 90.00
_symmetry_space_group_name_H-M 'C m c m'
_symmetry_Int_Tables_number 63
_symmetry_space_group_name_Hall '-C 2c 2'
loop_
_atom_site_label
_atom_site_fract_x
_atom_site_fract_y
_atom_site_fract_z
Tm1 0.0000 0.0000 0.0000
Tl1 0.0000 0.2682 0.2500
Cd1 0.0000 0.4444 0.7500
S1 0.0000 0.0593 0.7500
S2 0.0000 0.3731 0.5383
```

Excess energy over the best structure of this formula in the dataset in meV/atom: 0.0
Crystal system: orthorhombic

---

# 6
The following is a GGA-PBE calculation of crystalline HfTaFeSi at its relaxed geometry, from OQMD.

```
data_HfTaFeSi
_cell_length_a 6.2742
_cell_length_b 6.2742
_cell_length_c 6.2742
_cell_angle_alpha 90.00
_cell_angle_beta 90.00
_cell_angle_gamma 90.00
_symmetry_space_group_name_H-M 'F -4 3 m'
_symmetry_Int_Tables_number 216
_symmetry_space_group_name_Hall 'F -4 2 3'
loop_
_atom_site_label
_atom_site_fract_x
_atom_site_fract_y
_atom_site_fract_z
Hf1 0.0000 0.0000 0.0000
Ta1 0.2500 0.2500 0.2500
Fe1 0.2500 0.2500 0.7500
Si1 0.0000 0.0000 0.5000
```

Excess energy over the best structure of this formula in the dataset in meV/atom: 0.0
Crystal system: cubic

---

# 7
The following is a GGA-PBE calculation of crystalline Zr4Be3 at its relaxed geometry, from OQMD.

```
data_Zr4Be3
_cell_length_a 9.0921
_cell_length_b 9.0921
_cell_length_c 3.4037
_cell_angle_alpha 90.00
_cell_angle_beta 90.00
_cell_angle_gamma 120.00
_symmetry_space_group_name_H-M 'P 63/m'
_symmetry_Int_Tables_number 176
_symmetry_space_group_name_Hall '-P 6c'
loop_
_atom_site_label
_atom_site_fract_x
_atom_site_fract_y
_atom_site_fract_z
Zr1 0.0327 0.6658 0.2500
Zr2 0.3333 0.6667 0.7500
Be1 0.0171 0.8730 0.7500
```

Excess energy over the best structure of this formula in the dataset in meV/atom: 0.0
Crystal system: hexagonal

---

# 8
The following is a GGA-PBE calculation of crystalline HoTm2In3CuAg2 at its relaxed geometry, from OQMD.

```
data_HoTm2In3CuAg2
_cell_length_a 3.8299
_cell_length_b 13.4358
_cell_length_c 7.7407
_cell_angle_alpha 90.00
_cell_angle_beta 90.00
_cell_angle_gamma 90.00
_symmetry_space_group_name_H-M 'A m m 2'
_symmetry_Int_Tables_number 38
loop_
_symmetry_equiv_pos_as_xyz
'x,y,z'
'-x,-y,z'
'-x,y,z'
'x,-y,z'
'x,y+1/2,z+1/2'
'-x,-y+1/2,z+1/2'
'-x,y+1/2,z+1/2'
'x,-y+1/2,z+1/2'
loop_
_atom_site_label
_atom_site_fract_x
_atom_site_fract_y
_atom_site_fract_z
Ho1 0.0000 0.0000 0.0000
Tm1 0.0000 0.2004 0.6019
In1 0.5000 0.0000 0.6546
In2 0.5000 0.1267 0.2755
Cu1 0.0000 0.0000 0.4021
Ag1 0.5000 0.1677 0.9012
```

Crystal system: orthorhombic
Total DFT energy (no corrections) in eV per atom: -3.879

---

# 9
The following is a GGA-PBE calculation of crystalline YErZn2Si2 at its relaxed geometry, from OQMD.

```
data_YErZn2Si2
_cell_length_a 4.1295
_cell_length_b 4.1295
_cell_length_c 15.6686
_cell_angle_alpha 90.00
_cell_angle_beta 90.00
_cell_angle_gamma 120.00
_symmetry_space_group_name_H-M 'P 63/m m c'
_symmetry_Int_Tables_number 194
_symmetry_space_group_name_Hall '-P 6c 2c'
loop_
_atom_site_label
_atom_site_fract_x
_atom_site_fract_y
_atom_site_fract_z
Y1 0.0000 0.0000 0.0000
Er1 0.0000 0.0000 0.2500
Zn1 0.3333 0.6667 0.1364
Si1 0.3333 0.6667 0.6205
```

Excess energy over the best structure of this formula in the dataset in meV/atom: 0.0
Crystal system: hexagonal

---

# 10
The following is a GGA-PBE calculation of crystalline TlCuPtSeS2 at its relaxed geometry, from OQMD.

```
data_TlCuPtSeS2
_cell_length_a 3.6566
_cell_length_b 13.3515
_cell_length_c 10.5110
_cell_angle_alpha 90.00
_cell_angle_beta 90.00
_cell_angle_gamma 90.00
_symmetry_space_group_name_H-M 'C m c m'
_symmetry_Int_Tables_number 63
_symmetry_space_group_name_Hall '-C 2c 2'
loop_
_atom_site_label
_atom_site_fract_x
_atom_site_fract_y
_atom_site_fract_z
Tl1 0.0000 0.2289 0.2500
Cu1 0.0000 0.0948 0.7500
Pt1 0.0000 0.5000 0.0000
Se1 0.0000 0.4639 0.7500
S1 0.0000 0.1144 0.5332
```

Crystal system: orthorhombic
Total DFT energy (no corrections) in eV per atom: -4.218

---

# 11
The following is a GGA-PBE calculation of crystalline TaZnIn at its relaxed geometry, from OQMD.

```
data_TaZnIn
_cell_length_a 6.4609
_cell_length_b 6.4609
_cell_length_c 6.4609
_cell_angle_alpha 90.00
_cell_angle_beta 90.00
_cell_angle_gamma 90.00
_symmetry_space_group_name_H-M 'F -4 3 m'
_symmetry_Int_Tables_number 216
_symmetry_space_group_name_Hall 'F -4 2 3'
loop_
_atom_site_label
_atom_site_fract_x
_atom_site_fract_y
_atom_site_fract_z
Ta1 0.0000 0.0000 0.0000
Zn1 0.2500 0.2500 0.2500
In1 0.2500 0.2500 0.7500
```

Crystal system: cubic
Total DFT energy (no corrections) in eV per atom: -4.496

---

# 12
The following is a GGA-PBE calculation of crystalline ErInPbSe3 at its relaxed geometry, from OQMD.

```
data_ErInPbSe3
_cell_length_a 4.0482
_cell_length_b 14.6516
_cell_length_c 11.5209
_cell_angle_alpha 90.00
_cell_angle_beta 90.00
_cell_angle_gamma 90.00
_symmetry_space_group_name_H-M 'C m c m'
_symmetry_Int_Tables_number 63
_symmetry_space_group_name_Hall '-C 2c 2'
loop_
_atom_site_label
_atom_site_fract_x
_atom_site_fract_y
_atom_site_fract_z
Er1 0.0000 0.0000 0.0000
In1 0.0000 0.3553 0.2500
Pb1 0.0000 0.3258 0.7500
Se1 0.0000 0.0055 0.7500
Se2 0.0000 0.3652 0.5008
```

Crystal system: orthorhombic
Total DFT energy (no corrections) in eV per atom: -4.508

---

Which formula does entry 6 have?
HfTaFeSi